The following is a GGA+U calculation of MoCl2F5 after structural relaxation, from Alexandria.

The space group is P1 (No. 1) and the conventional cell measures 4.237, 6.416 and 6.805 Å, with angles of 86.33, 82.54 and 70.82 degrees. The inequivalent atoms are Mo at (0.000, 0.000, 0.000), Cl at (0.292, 0.446, 0.503), Cl at (0.702, 0.554, 0.497), F at (0.057, 0.001, 0.721), F at (0.156, 0.690, 0.991), F at (0.500, 0.000, 0.000), F at (0.843, 0.310, 0.009) and F at (0.943, 0.999, 0.279).

As for the raw total energy: -4.22 eV/atom.